# Pr2PbSe4 | Alexandria via LeMat-Bulk | meta-GGA SCAN | single point on PBEsol structure
data_Pr2PbSe4
_symmetry_space_group_name_H-M 'I -4 2 d'
_symmetry_Int_Tables_number 122
_symmetry_space_group_name_Hall 'I -4 2bw'
_cell_length_a 8.9457
_cell_length_b 8.9457
_cell_length_c 8.9382
_cell_angle_alpha 90.00
_cell_angle_beta 90.00
_cell_angle_gamma 90.00
loop_
_atom_site_label
_atom_site_fract_x
_atom_site_fract_y
_atom_site_fract_z
Pr1 0.1323 0.7500 0.1250
Pb1 0.0000 0.0000 0.5000
Se1 0.0770 0.6711 0.4455
# DFT total energy = -36.354 eV per atom